*A*
First-principles (PBE-GGA) data for a relaxed Tb3Pm2Tl3 crystal, as listed in Alexandria via LeMat-Bulk.

The structure in extended XYZ format:
```
8
Lattice="4.981 0.000 0.000 0.000 5.041 0.000 0.000 0.000 9.247" Properties=species:S:1:pos:R:3 pbc="T T T"
Tb 0.000 0.000 0.000
Tb 0.000 2.521 2.476
Tb 0.000 2.521 6.771
Pm 2.491 0.000 2.380
Pm 2.491 0.000 6.867
Tl 0.000 0.000 4.624
Tl 2.491 2.521 0.000
Tl 2.491 2.521 4.624
```

Results
* theoretical density: 9.87 Mg/m³
* Fermi-level density of states: 1.22 states/eV per atom



*B*
First-principles (PBE-GGA) data for a relaxed Tb3Pm2Tl3 crystal, as listed in Alexandria via LeMat-Bulk.

The structure in extended XYZ format:
```
8
Lattice="-2.248 2.486 10.376 2.248 -2.486 10.376 2.248 2.486 -10.376" Properties=species:S:1:pos:R:3 pbc="T T T"
Tb 0.000 0.000 0.000
Tb 2.248 0.000 7.937
Tb 0.000 2.486 2.440
Pm 0.000 0.000 4.957
Pm 0.000 0.000 15.796
Tl 2.248 0.000 2.586
Tl 0.000 0.000 10.376
Tl 0.000 2.486 7.791
```

Results
* theoretical density: 9.88 Mg/m³
* Fermi-level density of states: 0.97 states/eV per atom



Most stable to least stable: *B*, *A*